(1)
Below is a relaxed structure of TaTl2As, with properties calculated at the PBE level.

Its energy of formation is 0.31 eV per atom. The energy comes out at -0.1836 Ha/atom. The theoretical density is 11.05 g cm⁻³. As for the density of states at the Fermi level: 4.31 states/eV/cell. Its magnetization is 0.0 μB per formula unit. As for the distance to the lowest polymorph of the same formula: 216.1 meV/atom.

It has space group Cm (No. 8), with a = 13.843 Å, b = 3.016 Å, c = 5.156 Å, α = 90.00°, β = 111.85° and γ = 90.00°. The inequivalent atoms are Ta at (0.000, 0.000, 0.000), Tl at (0.278, 0.000, 0.779), Tl at (0.473, 0.000, 0.473) and As at (0.168, 0.500, 0.169).

***

(2)
Below is a relaxed structure of Mo5Ru2Rh4, with properties calculated at the PBE level.

Its energy of formation is 0.11 eV per atom. The energy comes out at -0.3371 Ha/atom. The theoretical density is 10.84 g cm⁻³. As for the density of states at the Fermi level: 21.85 states/eV/cell. Its magnetization is 0.0 μB per formula unit.

It has space group Pbam (No. 55), with a = 4.735 Å, b = 15.901 Å, c = 4.447 Å, α = 90.00°, β = 90.00° and γ = 90.00°. The inequivalent atoms are Mo at (0.000, 0.000, 0.000), Mo at (0.056, 0.202, 0.000), Mo at (0.056, 0.386, 0.000), Ru at (0.213, 0.293, 0.500), Rh at (0.217, 0.122, 0.500) and Rh at (0.224, 0.458, 0.500).

***

(3)
Below is a relaxed structure of Pr8CuPt3Br4, with properties calculated at the PBE level.

The energy comes out at -0.1941 Ha/atom. The theoretical density is 7.14 g cm⁻³. For the energy relative to the elements, uncorrected, the calculation gives -1084 meV per atom. As for the density of states at the Fermi level: 40.16 states/eV/cell. Its magnetization is 0.0 μB per formula unit.

It has space group R-3m (No. 166, hexagonal axes), with a = 8.5099 Å, b = 8.5099 Å, c = 23.3063 Å, α = 90.00°, β = 90.00° and γ = 120.00°. The inequivalent atoms are Pr at (0.0000, 0.0000, 0.2337), Pr at (0.0016, 0.5008, 0.7668), Cu at (0.0000, 0.0000, 0.5000), Pt at (0.0000, 0.5000, 0.5000), Br at (0.0000, 0.0000, 0.0000) and Br at (0.0000, 0.5000, 0.0000).

***

(4)
Below is a relaxed structure of MgZr2InAu, with properties calculated at the PBE level.

Its energy of formation is 0.91 eV per atom. The energy comes out at -0.1483 Ha/atom. The theoretical density is 6.89 g cm⁻³. As for the density of states at the Fermi level: 4.24 states/eV/cell. Its magnetization is 0.0 μB per formula unit.

It has space group P4/mmm (No. 123), with a = 5.069 Å, b = 5.069 Å, c = 4.868 Å, α = 90.00°, β = 90.00° and γ = 90.00°. The inequivalent atoms are Mg at (0.000, 0.000, 0.000), Zr at (0.000, 0.500, 0.000), In at (0.000, 0.000, 0.500) and Au at (0.500, 0.500, 0.500).

***

(5)
Below is a relaxed structure of TcSO2F, with properties calculated at the PBE level.

The energy comes out at -0.1845 Ha/atom. The theoretical density is 4.48 g cm⁻³. For the energy relative to the elements, uncorrected, the calculation gives 236 meV per atom. As for the density of states at the Fermi level: 1.60 states/eV/cell. Its magnetization is 4.7 μB per formula unit.

It has space group P4/mmm (No. 123), with a = 3.615 Å, b = 3.615 Å, c = 5.137 Å, α = 90.00°, β = 90.00° and γ = 90.00°. The inequivalent atoms are Tc at (0.000, 0.000, 0.000), S at (0.500, 0.500, 0.500), O at (0.000, 0.500, 0.500) and F at (0.500, 0.500, 0.000).

***

(6)
Below is a relaxed structure of CaMgTe, with properties calculated at the PBE level.

The energy comes out at -0.1063 Ha/atom. The theoretical density is 3.65 g cm⁻³. For the energy relative to the elements, uncorrected, the calculation gives -646 meV per atom. As for the density of states at the Fermi level: 2.68 states/eV/cell. Its magnetization is 0.0 μB per formula unit. As for the distance to the lowest polymorph of the same formula: 87.4 meV/atom.

It has space group Fmm2 (No. 42), with a = 5.489 Å, b = 5.503 Å, c = 11.571 Å, α = 90.00°, β = 90.00° and γ = 90.00°. The inequivalent atoms are Ca at (0.000, 0.000, 0.000), Mg at (0.000, 0.000, 0.297) and Te at (0.000, 0.000, 0.663).